# CoTcRh2O PBE with a Hubbard U optimized geometry
# Final energy = -25.9 eV for the cell shown
# Space-group type = No. 123
data_CoTcRh2O
_space_group_name_H-M_alt 'P 1'
_space_group_IT_number 1
_space_group_name_Hall 'P 1'
_cell_length_a 4.442
_cell_length_b 4.614
_cell_length_c 4.442
_cell_angle_alpha 90.00
_cell_angle_beta 90.00
_cell_angle_gamma 90.00
loop_
_atom_site_label
_atom_site_type_symbol
_atom_site_fract_x
_atom_site_fract_y
_atom_site_fract_z
_atom_site_occupancy
Rh1 Rh 0.500 0.000 0.000 1
Rh2 Rh 0.000 0.000 0.500 1
Co1 Co 0.000 0.000 0.000 1
O1 O 0.500 0.500 0.500 1
Tc1 Tc 0.000 0.500 0.000 1

# CoTeRhO2 PBE with a Hubbard U optimized geometry
# Final energy = -25.7 eV for the cell shown
# Space-group type = No. 123
data_CoTeRhO2
_space_group_name_H-M_alt 'P 1'
_space_group_IT_number 1
_space_group_name_Hall 'P 1'
_cell_length_a 3.672
_cell_length_b 5.511
_cell_length_c 3.672
_cell_angle_alpha 90.00
_cell_angle_beta 90.00
_cell_angle_gamma 90.00
loop_
_atom_site_label
_atom_site_type_symbol
_atom_site_fract_x
_atom_site_fract_y
_atom_site_fract_z
_atom_site_occupancy
Rh1 Rh 0.000 0.500 0.000 1
O1 O 0.500 0.000 0.000 1
O2 O 0.000 0.000 0.500 1
Te1 Te 0.500 0.500 0.500 1
Co1 Co 0.000 0.000 0.000 1

# Co2TeRhO6 PBE with a Hubbard U optimized geometry
# Final energy = -58.6 eV for the cell shown
# Space-group type = No. 146
data_Co2TeRhO6
_space_group_name_H-M_alt 'P 1'
_space_group_IT_number 1
_space_group_name_Hall 'P 1'
_cell_length_a 5.260
_cell_length_b 5.260
_cell_length_c 5.558
_cell_angle_alpha 61.76
_cell_angle_beta 61.76
_cell_angle_gamma 60.00
loop_
_atom_site_label
_atom_site_type_symbol
_atom_site_fract_x
_atom_site_fract_y
_atom_site_fract_z
_atom_site_occupancy
O1 O 0.129 0.414 0.739 1
O2 O 0.238 0.869 0.262 1
O3 O 0.717 0.129 0.739 1
O4 O 0.869 0.630 0.262 1
O5 O 0.414 0.717 0.739 1
O6 O 0.630 0.238 0.262 1
Te1 Te 0.307 0.307 0.080 1
Co1 Co 0.026 0.026 0.922 1
Co2 Co 0.508 0.508 0.476 1
Rh1 Rh 0.822 0.822 0.534 1

final energy of number 3 (Co2TeRhO6)? -58.6 eV for the cell shown

Which of these has the lowest final energy? Co2TeRhO6